Compound: Pr2TmCrO6
Source: the Alexandria database
Functional: PBE+U
Structure: relaxed

Uncorrected energy ... -8.204 eV per atom
Space-group type ... P2_1/c (14)

CIF file:
```
data_Pr2TmCrO6
_chemical_formula_sum 'Pr4 Tm2 Cr2 O12'
_cell_length_a 5.649
_cell_length_b 5.860
_cell_length_c 9.852
_cell_angle_alpha 90.00
_cell_angle_beta 124.40
_cell_angle_gamma 90.00
_space_group_name_H-M_alt 'P 1'
_space_group_IT_number 1
loop_
_space_group_symop_operation_xyz
'x,y,z'
loop_
_atom_site_label
_atom_site_fract_x
_atom_site_fract_y
_atom_site_fract_z
Pr1 0.233 0.055 0.250
Pr2 0.233 0.445 0.750
Pr3 0.767 0.555 0.250
Pr4 0.767 0.945 0.750
Tm1 0.500 0.000 0.000
Tm2 0.500 0.500 0.500
Cr1 0.000 0.000 0.500
Cr2 0.000 0.500 0.000
O1 0.131 0.211 0.941
O2 0.131 0.289 0.441
O3 0.232 0.694 0.944
O4 0.232 0.806 0.444
O5 0.347 0.040 0.739
O6 0.347 0.460 0.239
O7 0.653 0.540 0.761
O8 0.653 0.960 0.261
O9 0.768 0.194 0.556
O10 0.768 0.306 0.056
O11 0.869 0.711 0.559
O12 0.869 0.789 0.059
```